(1)
! BaZrAsO (PBE-GGA, relaxed); values from VASP
&SYSTEM
  ibrav = 0, nat = 8, ntyp = 4
/
ATOMIC_SPECIES
As 74.92 As.upf
Ba 137.33 Ba.upf
O 16.00 O.upf
Zr 91.22 Zr.upf
ATOMIC_POSITIONS angstrom
As 3.2891 3.2891 2.1918
As 1.0964 1.0964 6.9132
Ba 3.2891 1.0964 4.5525
Ba 1.0964 3.2891 4.5525
O 3.2891 1.0964 0.0000
O 1.0964 3.2891 0.0000
Zr 1.0964 1.0964 0.5543
Zr 3.2891 3.2891 8.5508
CELL_PARAMETERS angstrom
4.3854 0.0000 0.0000
0.0000 4.3854 0.0000
0.0000 0.0000 9.1050
! - Mass density: 6.059 Mg/m³
! - Distance to the lowest polymorph of the same formula: 593 meV per atom
! - Total DFT energy (no corrections): -49.2 eV/cell

(2)
! Ba2Ni2W3 (PBE-GGA, relaxed); values from VASP
&SYSTEM
  ibrav = 0, nat = 7, ntyp = 3
/
ATOMIC_SPECIES
Ba 137.33 Ba.upf
Ni 58.69 Ni.upf
W 183.84 W.upf
ATOMIC_POSITIONS angstrom
Ba 4.3040 -0.5407 3.2427
Ba 18.3774 -2.3088 13.8457
Ni 0.2914 -0.0366 0.2195
Ni 13.7182 -1.7235 10.3355
W 8.0975 -1.0173 6.1008
W 15.5829 -1.9577 11.7404
W 22.9616 -2.8847 17.2996
CELL_PARAMETERS angstrom
7.6124 1.0530 7.3692
7.3562 -3.2021 6.9997
9.7226 -0.9530 4.2338
! - Mass density: 9.542 Mg/m³
! - Total DFT energy (no corrections): -50.3 eV/cell

(3)
! ZrScAu4 (PBE-GGA, relaxed); values from VASP
&SYSTEM
  ibrav = 0, nat = 6, ntyp = 3
/
ATOMIC_SPECIES
Au 196.97 Au.upf
Sc 44.96 Sc.upf
Zr 91.22 Zr.upf
ATOMIC_POSITIONS angstrom
Au -1.0301 -0.6517 0.8171
Au -3.7753 -0.9241 -0.1839
Au -5.7995 -2.2048 1.4219
Au -5.1468 -3.2564 4.0828
Sc -3.0884 -1.9541 2.4500
Zr -1.6990 0.3896 -1.8310
CELL_PARAMETERS angstrom
-2.2952 2.6209 -0.8029
-1.1028 -1.8416 -2.8590
-6.1768 -3.9082 4.8999
! - Mass density: 13.642 Mg/m³
! - Total DFT energy (no corrections): -32.2 eV/cell

(4)
! PmTaN2O (PBE-GGA, relaxed); values from VASP
&SYSTEM
  ibrav = 0, nat = 20, ntyp = 4
/
ATOMIC_SPECIES
N 14.01 N.upf
O 16.00 O.upf
Pm 145.00 Pm.upf
Ta 180.95 Ta.upf
ATOMIC_POSITIONS angstrom
N -5.1028 -2.0543 2.6357
N -3.2893 -4.3017 2.1989
N -6.0944 -2.3416 5.3679
N 0.2773 -2.6813 1.9039
N -1.4374 -0.3864 4.8486
N 1.2491 -1.4651 4.4617
N -1.5560 0.4950 7.6306
N 0.7242 -5.3224 3.9331
O -2.3319 -1.4934 2.3130
O -4.3167 -0.1065 4.5552
O -1.1728 -3.1810 4.3828
O -3.1576 -1.7941 6.6250
Pm -0.6846 -1.2401 0.1611
Pm -3.5333 -2.8152 4.4956
Pm -0.8586 -4.7126 2.1548
Pm -0.3379 -1.7765 6.6817
Ta -3.7184 -2.6295 1.2232
Ta -6.1651 -0.9198 3.9873
Ta -0.4348 -1.4728 3.4143
Ta -2.8815 0.2369 6.1785
CELL_PARAMETERS angstrom
-4.8073 3.3591 5.4308
-3.3554 -4.4923 -0.1915
3.0208 -2.4345 4.1798
! - Mass density: 9.609 Mg/m³
! - Total DFT energy (no corrections): -191.4 eV/cell

(5)
! BaLaZnAu (PBE-GGA, relaxed); values from VASP
&SYSTEM
  ibrav = 0, nat = 4, ntyp = 4
/
ATOMIC_SPECIES
Au 196.97 Au.upf
Ba 137.33 Ba.upf
La 138.91 La.upf
Zn 65.41 Zn.upf
ATOMIC_POSITIONS angstrom
Au -6.9871 -6.6707 3.0560
Ba 0.0000 0.0000 0.0000
La -4.6580 -4.4471 2.0373
Zn -2.3290 -2.2235 1.0187
CELL_PARAMETERS angstrom
-1.2503 -5.3584 0.3744
-2.8467 -1.8709 4.3374
-5.2191 -1.6649 -0.6371
! - Mass density: 7.540 Mg/m³
! - Distance to the lowest polymorph of the same formula: 0 meV per atom
! - Total DFT energy (no corrections): -13.0 eV/cell

(6)
! TmZrNO (PBE-GGA, relaxed); values from VASP
&SYSTEM
  ibrav = 0, nat = 8, ntyp = 4
/
ATOMIC_SPECIES
N 14.01 N.upf
O 16.00 O.upf
Tm 168.93 Tm.upf
Zr 91.22 Zr.upf
ATOMIC_POSITIONS angstrom
N 2.0593 -4.6551 2.6192
N 0.8838 -1.7463 4.4317
O -0.8771 -2.3595 1.5795
O 0.1931 -4.5865 5.4696
Tm 1.1365 -2.5002 2.3526
Tm -0.0386 0.4067 4.1491
Zr 0.5574 -5.7445 1.5356
Zr -0.6612 -2.5561 5.6861
CELL_PARAMETERS angstrom
-3.2668 -1.3858 0.1054
2.2715 -5.3034 0.6761
-0.1133 0.7344 6.1412
! - Mass density: 7.554 Mg/m³
! - Distance to the lowest polymorph of the same formula: 220 meV per atom
! - Total DFT energy (no corrections): -67.9 eV/cell

(7)
! Lu4NiSN2 (PBE-GGA, relaxed); values from VASP
&SYSTEM
  ibrav = 0, nat = 8, ntyp = 4
/
ATOMIC_SPECIES
Lu 174.97 Lu.upf
N 14.01 N.upf
Ni 58.69 Ni.upf
S 32.06 S.upf
ATOMIC_POSITIONS angstrom
Lu -2.2871 1.4782 -0.2099
Lu -4.2436 -0.6180 1.4897
Lu -7.7299 -1.1257 2.7135
Lu -10.7687 0.2429 2.7675
N -3.8527 -0.4177 -0.7589
N -9.4526 -1.2333 1.2068
Ni 0.0000 0.0000 0.0000
S -6.5279 0.8606 1.2788
CELL_PARAMETERS angstrom
-0.4164 3.4185 0.2321
-0.7906 -1.6397 -2.9325
-11.9735 -1.7438 4.2031
! - Mass density: 10.286 Mg/m³
! - Total DFT energy (no corrections): -55.8 eV/cell

(8)
! Zr2AlCo3 (PBE-GGA, relaxed); values from VASP
&SYSTEM
  ibrav = 0, nat = 12, ntyp = 3
/
ATOMIC_SPECIES
Al 26.98 Al.upf
Co 58.93 Co.upf
Zr 91.22 Zr.upf
ATOMIC_POSITIONS angstrom
Al 0.0000 0.0000 0.0000
Al -1.7830 2.7199 2.0412
Co 0.3580 1.5485 1.8608
Co 2.5157 2.6689 2.2525
Co 1.7125 0.9578 3.8309
Co -2.4784 3.2610 4.3243
Co -3.2816 1.5499 5.9027
Co -1.1239 2.6704 6.2944
Zr 0.1645 -1.2577 2.6918
Zr -1.1879 0.8054 4.2400
Zr 0.4220 3.4135 3.9152
Zr -0.9304 5.4765 5.4634
CELL_PARAMETERS angstrom
-1.6606 -3.5374 3.2631
4.4607 2.3164 0.8097
-3.5659 5.4399 4.0824
! - Mass density: 7.441 Mg/m³
! - Total DFT energy (no corrections): -89.7 eV/cell

(9)
! ScSiNiAu (PBE-GGA, relaxed); values from VASP
&SYSTEM
  ibrav = 0, nat = 4, ntyp = 4
/
ATOMIC_SPECIES
Au 196.97 Au.upf
Ni 58.69 Ni.upf
Sc 44.96 Sc.upf
Si 28.09 Si.upf
ATOMIC_POSITIONS angstrom
Au 3.1552 3.1552 3.1552
Ni 4.7328 4.7328 4.7328
Sc 1.5776 1.5776 1.5776
Si 0.0000 0.0000 0.0000
CELL_PARAMETERS angstrom
0.0000 3.1552 3.1552
3.1552 0.0000 3.1552
3.1552 3.1552 0.0000
! - Mass density: 8.689 Mg/m³
! - Total DFT energy (no corrections): -22.2 eV/cell

(10)
! KPmY (PBE-GGA, relaxed); values from VASP
&SYSTEM
  ibrav = 0, nat = 3, ntyp = 3
/
ATOMIC_SPECIES
K 39.10 K.upf
Pm 145.00 Pm.upf
Y 88.91 Y.upf
ATOMIC_POSITIONS angstrom
K 2.1010 2.1010 2.1010
Pm 6.3031 6.3031 6.3031
Y 0.0000 0.0000 0.0000
CELL_PARAMETERS angstrom
0.0000 4.2021 4.2021
4.2021 0.0000 4.2021
4.2021 4.2021 0.0000
! - Mass density: 3.055 Mg/m³
! - Distance to the lowest polymorph of the same formula: 0 meV per atom
! - Total DFT energy (no corrections): -8.9 eV/cell

(11)
! HfN (PBE-GGA, relaxed); values from VASP
&SYSTEM
  ibrav = 0, nat = 8, ntyp = 2
/
ATOMIC_SPECIES
Hf 178.49 Hf.upf
N 14.01 N.upf
ATOMIC_POSITIONS angstrom
Hf -1.1416 -0.8965 0.3128
Hf -1.4273 2.2641 1.8866
Hf -3.6258 0.3684 2.4983
Hf -6.8449 1.4581 1.4994
N -3.6434 -1.8910 2.6267
N -2.4918 0.7409 0.5343
N -5.4947 -0.1792 1.2779
N -3.6081 2.6279 2.3699
CELL_PARAMETERS angstrom
-4.3969 -3.7913 1.2233
0.7349 0.1752 3.1844
-3.5895 4.3529 0.5889
! - Mass density: 11.607 Mg/m³
! - Total DFT energy (no corrections): -82.9 eV/cell

(12)
! Er3In2CuSnPt2 (PBE-GGA, relaxed); values from VASP
&SYSTEM
  ibrav = 0, nat = 9, ntyp = 5
/
ATOMIC_SPECIES
Cu 63.55 Cu.upf
Er 167.26 Er.upf
In 114.82 In.upf
Pt 195.08 Pt.upf
Sn 118.71 Sn.upf
ATOMIC_POSITIONS angstrom
Cu 7.2139 -0.4623 2.5691
Er 1.3276 -3.5563 2.4407
Er 2.9512 -0.1891 1.0510
Er 2.9604 3.2815 -0.9136
In 0.0759 -0.6458 2.6273
In 0.7812 2.3080 1.1783
Pt 2.6538 -1.2787 3.8106
Pt 3.5791 2.5965 1.9096
Sn 4.8916 0.5451 3.4923
CELL_PARAMETERS angstrom
-1.0050 1.7815 3.1425
2.2315 -6.0401 4.1379
5.0053 5.5764 -1.5606
! - Mass density: 11.340 Mg/m³
! - Total DFT energy (no corrections): -46.8 eV/cell

(13)
! Ho2GePt (PBE-GGA, relaxed); values from VASP
&SYSTEM
  ibrav = 0, nat = 8, ntyp = 3
/
ATOMIC_SPECIES
Ge 72.64 Ge.upf
Ho 164.93 Ho.upf
Pt 195.08 Pt.upf
ATOMIC_POSITIONS angstrom
Ge 0.8651 -2.5081 2.6997
Ge -1.6036 0.0788 5.9344
Ho -1.1536 -4.7554 2.1901
Ho 0.1099 0.3445 3.3715
Ho -0.8484 -2.7739 5.2626
Ho 0.4151 2.3261 6.4439
Pt -1.8882 -1.9926 2.6613
Pt 1.1497 -0.4368 5.9727
CELL_PARAMETERS angstrom
-4.2759 -3.8417 0.5963
2.7900 -2.8619 1.5685
0.7474 4.2742 6.4692
! - Mass density: 10.962 Mg/m³
! - Total DFT energy (no corrections): -48.4 eV/cell

(14)
! MgGa2Au (PBE-GGA, relaxed); values from VASP
&SYSTEM
  ibrav = 0, nat = 4, ntyp = 3
/
ATOMIC_SPECIES
Au 196.97 Au.upf
Ga 69.72 Ga.upf
Mg 24.30 Mg.upf
ATOMIC_POSITIONS angstrom
Au 4.9804 4.9804 4.9804
Ga 0.0000 0.0000 0.0000
Ga 1.6601 1.6601 1.6601
Mg 3.3203 3.3203 3.3203
CELL_PARAMETERS angstrom
0.0000 3.3203 3.3203
3.3203 0.0000 3.3203
3.3203 3.3203 0.0000
! - Mass density: 8.182 Mg/m³
! - Total DFT energy (no corrections): -11.6 eV/cell

(15)
! CoRe (PBE-GGA, relaxed); values from VASP
&SYSTEM
  ibrav = 0, nat = 2, ntyp = 2
/
ATOMIC_SPECIES
Co 58.93 Co.upf
Re 186.21 Re.upf
ATOMIC_POSITIONS angstrom
Co 0.0000 0.0000 0.0000
Re 1.0499 -2.1828 0.9834
CELL_PARAMETERS angstrom
-1.5332 -1.7908 1.0696
0.9725 -1.7881 -1.5997
2.6606 -0.7867 2.4968
! - Mass density: 16.273 Mg/m³
! - Total DFT energy (no corrections): -19.4 eV/cell

(16)
! Na2Sc2Ga2CuPt (PBE-GGA, relaxed); values from VASP
&SYSTEM
  ibrav = 0, nat = 8, ntyp = 5
/
ATOMIC_SPECIES
Cu 63.55 Cu.upf
Ga 69.72 Ga.upf
Na 22.99 Na.upf
Pt 195.08 Pt.upf
Sc 44.96 Sc.upf
ATOMIC_POSITIONS angstrom
Cu 2.2973 2.2973 3.2558
Ga 0.0000 2.2973 1.6518
Ga 2.2973 0.0000 4.8598
Na 2.2973 2.2973 0.0000
Na 0.0000 0.0000 3.2558
Pt 0.0000 0.0000 0.0000
Sc 2.2973 0.0000 1.6182
Sc 0.0000 2.2973 4.8934
CELL_PARAMETERS angstrom
4.5946 0.0000 0.0000
0.0000 4.5946 0.0000
0.0000 0.0000 6.5116
! - Mass density: 6.450 Mg/m³
! - Total DFT energy (no corrections): -33.6 eV/cell

(17)
! MgSnPt5 (PBE-GGA, relaxed); values from VASP
&SYSTEM
  ibrav = 0, nat = 7, ntyp = 3
/
ATOMIC_SPECIES
Mg 24.30 Mg.upf
Pt 195.08 Pt.upf
Sn 118.71 Sn.upf
ATOMIC_POSITIONS angstrom
Mg 0.0000 0.0000 0.0000
Pt 1.9784 1.9784 0.0000
Pt 1.9784 0.0000 1.9877
Pt 0.0000 1.9784 1.9877
Pt 1.9784 0.0000 5.7791
Pt 0.0000 1.9784 5.7791
Sn 1.9784 1.9784 3.8834
CELL_PARAMETERS angstrom
3.9568 0.0000 0.0000
0.0000 3.9568 0.0000
0.0000 0.0000 7.7669
! - Mass density: 15.273 Mg/m³
! - Total DFT energy (no corrections): -39.2 eV/cell

(18)
! Dy2Fe (PBE-GGA, relaxed); values from VASP
&SYSTEM
  ibrav = 0, nat = 6, ntyp = 2
/
ATOMIC_SPECIES
Dy 162.50 Dy.upf
Fe 55.84 Fe.upf
ATOMIC_POSITIONS angstrom
Dy 3.1183 3.1183 5.1972
Dy 3.1183 5.1972 3.1183
Dy 5.1972 3.1183 3.1183
Dy 5.1972 5.1972 5.1972
Fe 0.0000 0.0000 0.0000
Fe 2.0789 2.0789 2.0789
CELL_PARAMETERS angstrom
0.0000 4.1577 4.1577
4.1577 0.0000 4.1577
4.1577 4.1577 0.0000
! - Mass density: 8.799 Mg/m³
! - Total DFT energy (no corrections): -26.9 eV/cell

(19)
! FeNiSnW (PBE-GGA, relaxed); values from VASP
&SYSTEM
  ibrav = 0, nat = 4, ntyp = 4
/
ATOMIC_SPECIES
Fe 55.84 Fe.upf
Ni 58.69 Ni.upf
Sn 118.71 Sn.upf
W 183.84 W.upf
ATOMIC_POSITIONS angstrom
Fe 2.4167 0.9110 7.4830
Ni 0.8056 0.3037 2.4943
Sn 0.0000 0.0000 0.0000
W 1.6112 0.6073 4.9887
CELL_PARAMETERS angstrom
2.7314 -1.4241 3.0132
1.7116 2.7587 2.8334
-1.2206 -0.1200 4.1308
! - Mass density: 12.242 Mg/m³
! - Distance to the lowest polymorph of the same formula: 0 meV per atom
! - Total DFT energy (no corrections): -29.9 eV/cell

(20)
! NaNbF3 (PBE-GGA, relaxed); values from VASP
&SYSTEM
  ibrav = 0, nat = 10, ntyp = 3
/
ATOMIC_SPECIES
F 19.00 F.upf
Na 22.99 Na.upf
Nb 92.91 Nb.upf
ATOMIC_POSITIONS angstrom
F 4.7305 1.8154 2.4119
F 6.2339 0.3943 4.3771
F 3.6293 -0.7592 4.2122
F 4.8744 3.4069 4.7759
F 2.2699 2.2533 4.6110
F 3.7732 0.8322 6.5762
Na 2.1259 0.6619 2.2470
Na 6.3778 1.9857 6.7411
Nb 0.0000 0.0000 0.0000
Nb 4.2519 1.3238 4.4941
CELL_PARAMETERS angstrom
4.0713 -2.3600 2.7811
4.1720 3.3897 0.9922
0.2604 1.6180 5.2148
! - Mass density: 4.334 Mg/m³
! - Distance to the lowest polymorph of the same formula: 10 meV per atom
! - Total DFT energy (no corrections): -55.5 eV/cell